Entry 1:
Nd3GaFeS7 | GGA-PBEsol | optimized geometry

Calculated values
- DOS at the Fermi energy (states/eV per cell) = 11.76
- E_form (uncorrected) (eV per atom) = -1.51

CIF file:
```
data_Nd3GaFeS7
_space_group_name_H-M_alt 'P 63'
_space_group_IT_number 173
_space_group_name_Hall 'P 6c'
_cell_length_a 9.7747
_cell_length_b 9.7747
_cell_length_c 6.0983
_cell_angle_alpha 90.00
_cell_angle_beta 90.00
_cell_angle_gamma 120.00
loop_
_atom_site_label
_atom_site_type_symbol
_atom_site_fract_x
_atom_site_fract_y
_atom_site_fract_z
_atom_site_occupancy
Nd1 Nd 0.1561 0.7802 0.0000 1
Ga1 Ga 0.3333 0.6667 0.5785 1
Fe1 Fe 0.0000 0.0000 0.1864 1
S1 S 0.0879 0.5212 0.7250 1
S2 S 0.0984 0.8660 0.4254 1
S3 S 0.3333 0.6667 0.2124 1
```

Entry 2:
GaFeNi2 | GGA-PBEsol | optimized geometry

Calculated values
- formation energy (eV per atom) = -0.207
- DOS at the Fermi energy (states/eV per cell) = 3.80

CIF file:
```
data_GaFeNi2
_space_group_name_H-M_alt 'P 4/m m m'
_space_group_IT_number 123
_space_group_name_Hall '-P 4 2'
_cell_length_a 3.566
_cell_length_b 3.566
_cell_length_c 3.540
_cell_angle_alpha 90.00
_cell_angle_beta 90.00
_cell_angle_gamma 90.00
loop_
_atom_site_label
_atom_site_type_symbol
_atom_site_fract_x
_atom_site_fract_y
_atom_site_fract_z
_atom_site_occupancy
Ga1 Ga 0.000 0.000 0.000 1
Fe1 Fe 0.500 0.500 0.000 1
Ni1 Ni 0.000 0.500 0.500 1
```

Entry 3:
GaFe2O4 | GGA-PBEsol | optimized geometry

Calculated values
- DOS at the Fermi energy (states/eV per cell) = 15.62
- E_form (uncorrected) (eV per atom) = -1.37

CIF file:
```
data_GaFe2O4
_space_group_name_H-M_alt 'I m m a'
_space_group_IT_number 74
_space_group_name_Hall '-I 2b 2'
_cell_length_a 5.699
_cell_length_b 5.840
_cell_length_c 8.295
_cell_angle_alpha 90.00
_cell_angle_beta 90.00
_cell_angle_gamma 90.00
loop_
_atom_site_label
_atom_site_type_symbol
_atom_site_fract_x
_atom_site_fract_y
_atom_site_fract_z
_atom_site_occupancy
Ga1 Ga 0.000 0.000 0.000 1
Fe1 Fe 0.000 0.250 0.373 1
Fe2 Fe 0.250 0.250 0.750 1
O1 O 0.000 0.023 0.761 1
O2 O 0.234 0.250 0.984 1
```

Entry 4:
GaFe2PtO | GGA-PBEsol | optimized geometry

Calculated values
- DOS at the Fermi energy (states/eV per cell) = 3.12
- E_form (uncorrected) (eV per atom) = -0.40

CIF file:
```
data_GaFe2PtO
_space_group_name_H-M_alt 'P 4/m m m'
_space_group_IT_number 123
_space_group_name_Hall '-P 4 2'
_cell_length_a 3.697
_cell_length_b 3.697
_cell_length_c 4.492
_cell_angle_alpha 90.00
_cell_angle_beta 90.00
_cell_angle_gamma 90.00
loop_
_atom_site_label
_atom_site_type_symbol
_atom_site_fract_x
_atom_site_fract_y
_atom_site_fract_z
_atom_site_occupancy
Ga1 Ga 0.000 0.000 0.000 1
Fe1 Fe 0.000 0.500 0.500 1
Pt1 Pt 0.500 0.500 0.000 1
O1 O 0.000 0.000 0.500 1
```

Entry 5:
GaFe3P | GGA-PBEsol | optimized geometry

Calculated values
- formation energy (eV per atom) = 1.226
- DOS at the Fermi energy (states/eV per cell) = 6.31

CIF file:
```
data_GaFe3P
_space_group_name_H-M_alt 'P m -3 m'
_space_group_IT_number 221
_space_group_name_Hall '-P 4 2 3'
_cell_length_a 4.312
_cell_length_b 4.312
_cell_length_c 4.312
_cell_angle_alpha 90.00
_cell_angle_beta 90.00
_cell_angle_gamma 90.00
loop_
_atom_site_label
_atom_site_type_symbol
_atom_site_fract_x
_atom_site_fract_y
_atom_site_fract_z
_atom_site_occupancy
Ga1 Ga 0.000 0.000 0.000 1
Fe1 Fe 0.000 0.000 0.500 1
P1 P 0.500 0.500 0.500 1
```

Entry 6:
GaFeRe2P | GGA-PBEsol | optimized geometry

Calculated values
- formation energy (eV per atom) = 2.181
- DOS at the Fermi energy (states/eV per cell) = 5.56

CIF file:
```
data_GaFeRe2P
_space_group_name_H-M_alt 'P 4/m m m'
_space_group_IT_number 123
_space_group_name_Hall '-P 4 2'
_cell_length_a 4.561
_cell_length_b 4.561
_cell_length_c 4.291
_cell_angle_alpha 90.00
_cell_angle_beta 90.00
_cell_angle_gamma 90.00
loop_
_atom_site_label
_atom_site_type_symbol
_atom_site_fract_x
_atom_site_fract_y
_atom_site_fract_z
_atom_site_occupancy
Ga1 Ga 0.000 0.000 0.000 1
Fe1 Fe 0.500 0.500 0.500 1
Re1 Re 0.000 0.500 0.000 1
P1 P 0.000 0.000 0.500 1
```

Number 1: raw total energy -76.64 eV per formula unit. Number 2: raw total energy -25.45 eV per formula unit. Number 3: raw total energy -51.84 eV per formula unit. Number 4: raw total energy -35.48 eV per formula unit. Number 5: raw total energy -29.89 eV per formula unit. Number 6: raw total energy -33.85 eV per formula unit.